Entry 1:
DFT (PBE) results for a relaxed structure of Fe2HOsW.

- V: 53.2 Å³/cell
- M_tot: 0.000 μB per atom
- E: -8.814 eV per atom
- SG: No. 123

Lattice parameters (Å, degrees): 3.7196 3.7196 3.8480 90.00 90.00 90.00
Closest atoms and distances in Å follow each position.
Fractional coordinates of all 5 atoms:
Fe 0.5000 0.0000 0.0000  2 H 1.86
Fe 0.0000 0.5000 0.0000  2 H 1.86
H 0.0000 0.0000 0.0000  4 Fe 1.86, 2 W 1.92
Os 0.5000 0.5000 0.5000  4 W 2.63, 8 Fe 2.68
W 0.0000 0.0000 0.5000  2 H 1.92


Entry 2:
DFT (PBE) results for a relaxed structure of BC4.

- V: 61.8 Å³/cell
- M_tot: 0.000 μB per atom
- E: -8.405 eV per atom
- SG: No. 12

Lattice parameters (Å, degrees): 4.4212 4.4212 6.3064 115.61 115.61 34.21
Closest atoms and distances in Å follow each position.
Fractional coordinates of all 10 atoms:
C 0.3947 0.3947 0.5974  4 C 1.54-1.62
C 0.0053 0.0053 0.2526  4 C 1.54-1.62
C 0.4018 0.4018 0.8588  3 C 1.56-1.62, 1 B 1.60
C 0.5886 0.5886 0.6391  2 C 1.54-1.60, 2 B 1.55
C 0.7999 0.7999 0.4568  4 C 1.55-1.60
C 0.6001 0.6001 0.3932  4 C 1.55-1.60
C 0.9982 0.9982 0.9912  3 C 1.56-1.62, 1 B 1.60
C 0.8114 0.8114 0.2109  2 C 1.54-1.60, 2 B 1.55
B 0.2093 0.2093 0.0969  3 C 1.55-1.60
B 0.1907 0.1907 0.7531  3 C 1.55-1.60


Respective excess energy over the best structure of this formula in the dataset values: 24.2, 85.8 meV/atom.